VASP calculation (GGA-PBE) on an optimized crystal structure of Tb2PrSb.

The structure belongs to space group Fm-3m (No. 225); the cell edges are 7.6954, 7.6954 and 7.6954 Å and the angles 90.00°, 90.00° and 90.00°. The asymmetric unit holds Tb at (0.2500, 0.2500, 0.2500), Pr at (0.0000, 0.0000, 0.0000) and Sb at (0.0000, 0.0000, 0.5000).

The total energy is -77.00 eV per cell. The uncorrected formation energy comes out at -0.272 eV per atom. Its volume is 28.482 Å³/atom.

---

VASP calculation (GGA-PBE) on an optimized crystal structure of TbNbCu.

The structure belongs to space group P4/mmm (No. 123); the cell edges are 3.2923, 3.2923 and 11.0823 Å and the angles 90.00°, 90.00° and 90.00°. The asymmetric unit holds Tb at (0.0000, 0.0000, 0.1729), Nb at (0.5000, 0.5000, 0.3709), Cu at (0.0000, 0.0000, 0.5000) and Cu at (0.5000, 0.5000, 0.0000).

The total energy is -36.93 eV per cell. Its energy relative to the elements is 110 meV/atom. Its volume is 20.020 Å³/atom.

---

VASP calculation (GGA-PBE) on an optimized crystal structure of SiPBr2.

The structure belongs to space group I-4m2 (No. 119); the cell edges are 3.8895, 3.8895 and 12.1654 Å and the angles 90.00°, 90.00° and 90.00°. The asymmetric unit holds Si at (0.0000, 0.0000, 0.0000), P at (0.0000, 0.5000, 0.2500), Br at (0.0000, 0.0000, 0.5000) and Br at (0.0000, 0.5000, 0.7500).

The total energy is -22.71 eV per cell. The uncorrected formation energy comes out at 0.706 eV per atom. Its volume is 23.006 Å³/atom.

---

VASP calculation (GGA-PBE) on an optimized crystal structure of RbPuAg2O6.

The structure belongs to space group C2/m (No. 12); the cell edges are 8.1736, 7.8421 and 4.9616 Å and the angles 90.00°, 96.89° and 90.00°. The asymmetric unit holds Rb at (0.0000, 0.0000, 0.0000), Pu at (0.0000, 0.5000, 0.0000), Ag at (0.2500, 0.2500, 0.5000), O at (0.1037, 0.3189, 0.8090) and O at (0.2132, 0.5000, 0.3195).

The total energy is -127.90 eV per cell. The uncorrected formation energy comes out at -1.320 eV per atom. Its volume is 15.786 Å³/atom.

---

VASP calculation (GGA-PBE) on an optimized crystal structure of Bi2PdO5.

The structure belongs to space group Pnma (No. 62); the cell edges are 7.9848, 3.9180 and 15.3962 Å and the angles 90.00°, 90.00° and 90.00°. The asymmetric unit holds Bi at (0.1453, 0.2500, 0.0771), Bi at (0.1732, 0.2500, 0.7573), Pd at (0.0870, 0.2500, 0.4314), O at (0.0844, 0.7500, 0.1746), O at (0.0842, 0.7500, 0.4639), O at (0.1183, 0.7500, 0.6518), O at (0.2063, 0.7500, 0.0036) and O at (0.2396, 0.2500, 0.3258).

The total energy is -177.93 eV per cell. The uncorrected formation energy comes out at -0.842 eV per atom. Its volume is 15.052 Å³/atom.

---

VASP calculation (GGA-PBE) on an optimized crystal structure of Be2CdW.

The structure belongs to space group Cmmm (No. 65); the cell edges are 6.0651, 6.0730 and 2.8388 Å and the angles 90.00°, 90.00° and 90.00°. The asymmetric unit holds Be at (0.2500, 0.2500, 0.0000), Cd at (0.0000, 0.0000, 0.5000) and W at (0.0000, 0.5000, 0.5000).

The total energy is -39.72 eV per cell. Its energy relative to the elements is 365 meV/atom. Its volume is 13.070 Å³/atom.

---

VASP calculation (GGA-PBE) on an optimized crystal structure of Tb4Si2Ge5.

The structure belongs to space group P2/m (No. 10); the cell edges are 6.9095, 4.1574 and 8.0969 Å and the angles 90.00°, 92.74° and 90.00°. The asymmetric unit holds Tb at (0.2291, 0.0000, 0.3699), Tb at (0.2435, 0.0000, 0.8907), Si at (0.0879, 0.5000, 0.1281), Ge at (0.1285, 0.5000, 0.6268), Ge at (0.4457, 0.5000, 0.1568) and Ge at (0.5000, 0.5000, 0.5000).

The total energy is -60.04 eV per cell. The uncorrected formation energy comes out at -0.690 eV per atom. Its volume is 21.120 Å³/atom.

---

VASP calculation (GGA-PBE) on an optimized crystal structure of Nd7Er2Tm.

The structure belongs to space group Cmmm (No. 65); the cell edges are 8.8377, 16.6261 and 5.6222 Å and the angles 90.00°, 90.00° and 90.00°. The asymmetric unit holds Nd at (0.0000, 0.0000, 0.0000), Nd at (0.0000, 0.2846, 0.5000), Nd at (0.1790, 0.3879, 0.0000), Er at (0.0000, 0.2056, 0.0000) and Tm at (0.0000, 0.5000, 0.5000).

The total energy is -81.15 eV per cell. Its energy relative to the elements is 640 meV/atom. Its volume is 41.305 Å³/atom.

---

VASP calculation (GGA-PBE) on an optimized crystal structure of SbTeS2.

The structure belongs to space group I-42d (No. 122); the cell edges are 7.5175, 7.5175 and 6.9076 Å and the angles 90.00°, 90.00° and 90.00°. The asymmetric unit holds Sb at (0.0000, 0.0000, 0.0000), Te at (0.0000, 0.0000, 0.5000) and S at (0.2417, 0.2500, 0.1250).

The total energy is -58.74 eV per cell. The uncorrected formation energy comes out at 0.209 eV per atom. Its volume is 24.398 Å³/atom.

---

VASP calculation (GGA-PBE) on an optimized crystal structure of Rb3Sm3GaS8.

The structure belongs to space group R-3m (No. 166, hexagonal axes); the cell edges are 8.0957, 8.0957 and 23.5703 Å and the angles 90.00°, 90.00° and 120.00°. The asymmetric unit holds Rb at (0.0000, 0.5000, 0.0000), Sm at (0.0000, 0.5000, 0.5000), Ga at (0.0000, 0.0000, 0.5000), S at (0.0000, 0.0000, 0.2321) and S at (0.0278, 0.5139, 0.2269).

The total energy is -223.92 eV per cell. The uncorrected formation energy comes out at -1.436 eV per atom. Its volume is 29.735 Å³/atom.

---

VASP calculation (GGA-PBE) on an optimized crystal structure of Mn2GaWN.

The structure belongs to space group P4/mmm (No. 123); the cell edges are 3.8244, 3.8244 and 4.1244 Å and the angles 90.00°, 90.00° and 90.00°. The asymmetric unit holds Mn at (0.0000, 0.5000, 0.0000), Ga at (0.0000, 0.0000, 0.5000), W at (0.5000, 0.5000, 0.5000) and N at (0.5000, 0.5000, 0.0000).

The total energy is -43.35 eV per cell. The uncorrected formation energy comes out at -0.140 eV per atom. Its volume is 12.064 Å³/atom.

---

VASP calculation (GGA-PBE) on an optimized crystal structure of Th6As3P2Au.

The structure belongs to space group C2/m (No. 12); the cell edges are 18.4707, 4.1843 and 8.5455 Å and the angles 90.00°, 103.54° and 90.00°. The asymmetric unit holds Th at (0.0036, 0.0000, 0.2547), Th at (0.1697, 0.5000, 0.0940), Th at (0.1695, 0.5000, 0.5768), As at (0.0000, 0.5000, 0.5000), As at (0.1651, 0.0000, 0.8331), P at (0.1672, 0.0000, 0.3341) and Au at (0.0000, 0.5000, 0.0000).

The total energy is -175.84 eV per cell. Its energy relative to the elements is -1279 meV/atom. Its volume is 26.754 Å³/atom.